An optimized crystal structure of TlAuS5. Source: Alexandria, functional PBE.

- Raw total energy: -3.770 eV/atom
- E_form (uncorrected): -16 meV/atom
- Calculated volume: 28.87 A^3/atom

Cell: 4.531 5.489 8.133 Å, 88.81 88.32 88.42°
Space group P1 (No. 1)
Asymmetric unit:
Tl (0.000, 0.000, 0.000) x1
Au (0.147, 0.665, 0.501) x1
S (0.429, 0.822, 0.263) x1
S (0.474, 0.866, 0.685) x1
S (0.671, 0.534, 0.162) x1
S (0.798, 0.615, 0.730) x1
S (0.871, 0.368, 0.356) x1

***

An optimized crystal structure of TcPdBr. Source: Alexandria, functional PBE.

- Raw total energy: -5.290 eV/atom
- E_form (uncorrected): 454 meV/atom
- Polymorph energy (0 for the lowest one): 403.8 meV per atom
- Calculated volume: 19.05 A^3/atom

Cell: 12.939 2.937 3.029 Å, 90.00 96.73 90.00°
Space group Cm (No. 8)
Asymmetric unit:
Tc (0.000, 0.000, 0.000) x2
Pd (0.370, 0.000, 0.428) x2
Br (0.155, 0.000, 0.574) x2

***

An optimized crystal structure of NaIn2Hg7. Source: Alexandria, functional PBE.

- Raw total energy: -0.874 eV/atom
- Calculated volume: 31.87 A^3/atom

Cell: 8.393 16.430 4.623 Å, 90.00 90.00 90.00°
Space group Cmmm (No. 65)
Asymmetric unit:
Na (0.000, 0.000, 0.000) x2
In (0.000, 0.315, 0.500) x4
Hg (0.000, 0.203, 0.000) x4
Hg (0.000, 0.500, 0.500) x2
Hg (0.182, 0.107, 0.500) x8

***

An optimized crystal structure of Ca4RuW. Source: Alexandria, functional PBE.

- Raw total energy: -3.568 eV/atom
- Calculated volume: 25.89 A^3/atom

Cell: 8.533 8.533 8.533 Å, 90.00 90.00 90.00°
Space group F-43m (No. 216)
Asymmetric unit:
Ca (0.125, 0.125, 0.125) x16
Ru (0.250, 0.250, 0.750) x4
W (0.000, 0.000, 0.500) x4